Cs7K12Na: relaxed, PBE.

a = 22.0858 Å, b = 22.0858 Å, c = 12.1851 Å
α = 90.00°, β = 90.00°, γ = 120.00°
Space group R-3 (No. 148, hexagonal axes)
Asymmetric unit:
Cs 0.0000 0.0000 0.0000 x3
Cs 0.0092 0.8461 0.6733 x18
K 0.0188 0.7461 0.3011 x18
K 0.0693 0.5135 0.6698 x18
Na 0.0000 0.0000 0.5000 x3

## Properties
**Crystal system**: trigonal
**Calculated density**: 1377 kg/m³
**D(E_F)**: 16.21 states/eV/f.u.
**DFT formation energy**: 0.03 eV per atom


Pm3MgZn: relaxed, PBE.

a = 5.307 Å, b = 20.112 Å, c = 5.297 Å
α = 90.00°, β = 90.00°, γ = 90.00°
Space group Cmcm (No. 63)
Asymmetric unit:
Pm 0.000 0.064 0.250 x4
Pm 0.000 0.250 0.250 x4
Pm 0.000 0.434 0.250 x4
Mg 0.000 0.157 0.750 x4
Zn 0.000 0.341 0.750 x4

## Properties
**Crystal system**: orthorhombic
**Calculated density**: 6165 kg/m³
**D(E_F)**: 5.19 states/eV/f.u.
**DFT formation energy**: -0.14 eV per atom


Co2ReS: relaxed, PBE.

a = 5.226 Å, b = 5.226 Å, c = 9.684 Å
α = 90.00°, β = 90.00°, γ = 90.00°
Space group I-42d (No. 122)
Asymmetric unit:
Co 0.229 0.250 0.125 x8
Re 0.000 0.000 0.500 x4
S 0.000 0.000 0.000 x4

## Properties
**Crystal system**: tetragonal
**Calculated density**: 8441 kg/m³
**D(E_F)**: 4.75 states/eV/f.u.
**ΔE_f (raw)**: 2.36 eV/f.u.


ZnCuAu2: relaxed, PBE.

a = 2.9447 Å, b = 2.9447 Å, c = 25.6920 Å
α = 90.00°, β = 90.00°, γ = 120.00°
Space group R-3m (No. 166, hexagonal axes)
Asymmetric unit:
Zn 0.0000 0.0000 0.0000 x3
Cu 0.0000 0.0000 0.5000 x3
Au 0.0000 0.0000 0.2485 x6

## Properties
**Crystal system**: trigonal
**Calculated density**: 13502 kg/m³
**D(E_F)**: 0.95 states/eV/f.u.
**DFT formation energy**: -0.05 eV per atom


LaSiRu: relaxed, PBE.

a = 3.186 Å, b = 3.186 Å, c = 11.305 Å
α = 90.00°, β = 90.00°, γ = 90.00°
Space group I4mm (No. 107)
Asymmetric unit:
La 0.000 0.000 0.000 x2
Si 0.000 0.000 0.708 x2
Ru 0.000 0.000 0.300 x2

## Properties
**Crystal system**: tetragonal
**Calculated density**: 7759 kg/m³
**D(E_F)**: 2.41 states/eV/f.u.
**ΔE_f (raw)**: -1.44 eV/f.u.


CaZrVCl2: relaxed, PBE.

a = 4.903 Å, b = 4.903 Å, c = 7.639 Å
α = 90.00°, β = 90.00°, γ = 90.00°
Space group P4/mmm (No. 123)
Asymmetric unit:
Ca 0.000 0.000 0.000 x1
Zr 0.000 0.000 0.500 x1
V 0.500 0.500 0.500 x1
Cl 0.000 0.500 0.000 x2

## Properties
**Crystal system**: tetragonal
**Calculated density**: 2289 kg/m³
**D(E_F)**: 5.68 states/eV/f.u.
**ΔE_f (raw)**: 1.51 eV/f.u.


PuZr2Pa: relaxed, PBE.

a = 4.410 Å, b = 4.410 Å, c = 4.911 Å
α = 90.00°, β = 90.00°, γ = 90.00°
Space group P4/mmm (No. 123)
Asymmetric unit:
Pu 0.000 0.000 0.000 x1
Zr 0.000 0.500 0.500 x2
Pa 0.500 0.500 0.000 x1

## Properties
**Crystal system**: tetragonal
**Calculated density**: 11430 kg/m³
**D(E_F)**: 6.68 states/eV/f.u.
**DFT formation energy**: 0.09 eV per atom


Ba6Pt2RhI: relaxed, PBE.

a = 8.0994 Å, b = 8.0994 Å, c = 22.8768 Å
α = 90.00°, β = 90.00°, γ = 120.00°
Space group R3 (No. 146, hexagonal axes)
Asymmetric unit:
Ba 0.0005 0.3365 0.0000 x9
Ba 0.0147 0.6170 0.1760 x9
Pt 0.0000 0.0000 0.4138 x3
Pt 0.0000 0.0000 0.9228 x3
Rh 0.0000 0.0000 0.5943 x3
I 0.0000 0.0000 0.1094 x3

## Properties
**Crystal system**: trigonal
**Calculated density**: 5534 kg/m³
**D(E_F)**: 7.43 states/eV/f.u.
**ΔE_f (raw)**: -6.25 eV/f.u.